[1]
DFT (PBEsol) results for Mg5Pb after structural relaxation.

Formation energy ... -0.051 eV/atom
E ... -2.149 eV/atom

a b c (Å): 4.4862 13.6049 4.5393
angles (deg): 90.00 90.00 90.00
Last column: nearest neighbours and their distance in Å.
Space group Cmmm (No. 65)
Symmetry-distinct sites (fractional):
Mg 0.0000 0.0000 0.0000 x2  4 Pb 3.19, 8 Mg 3.21-3.22
Mg 0.0000 0.1674 0.5000 x4  10 Mg 3.17-3.22, 2 Pb 3.20
Mg 0.0000 0.3308 0.0000 x4  10 Mg 3.14-3.21, 2 Pb 3.23
Pb 0.0000 0.5000 0.5000 x2  12 Mg 3.19-3.23

***

[2]
DFT (PBEsol) results for Mg4Pb5 after structural relaxation.

Formation energy ... -0.029 eV/atom
E ... -3.014 eV/atom

a b c (Å): 9.1026 9.1026 6.5707
angles (deg): 90.00 90.00 120.00
Last column: nearest neighbours and their distance in Å.
Space group P6_3/mcm (No. 193)
Symmetry-distinct sites (fractional):
Mg 0.0000 0.0000 0.0000 x2  6 Pb 3.25, 8 Mg 3.29-3.62
Mg 0.0000 0.3538 0.2500 x6  9 Pb 3.03-3.37
Pb 0.0000 0.3077 0.7500 x6  7 Mg 3.03-3.31
Pb 0.3333 0.6667 0.0000 x4  8 Pb 3.29-3.56, 6 Mg 3.37